1.
## SmTh4Bi6 (PBE-GGA)

Data for a relaxed SmTh4Bi6 crystal.

Results
- E_tot (eV per atom) = -5.7620
- E_form (eV/atom) = -0.5180
- density (g cm⁻³) = 10.55
- symmetry = R-3c

Cell lengths 9.022, 9.022, 9.022 Å; angles 90.02, 90.02, 90.02 degrees
Sites, in units of the cell vectors:
Sm  0.000  0.000  0.000
Sm  0.500  0.500  0.500
Th  0.144  0.750  0.356
Th  0.250  0.250  0.250
Th  0.250  0.644  0.856
Th  0.356  0.144  0.750
Th  0.644  0.856  0.250
Th  0.750  0.356  0.144
Th  0.750  0.750  0.750
Th  0.856  0.250  0.644
Bi  0.063  0.920  0.668
Bi  0.080  0.332  0.937
Bi  0.168  0.420  0.563
Bi  0.332  0.937  0.080
Bi  0.420  0.563  0.168
Bi  0.437  0.832  0.580
Bi  0.563  0.168  0.420
Bi  0.580  0.437  0.832
Bi  0.668  0.063  0.920
Bi  0.832  0.580  0.437
Bi  0.920  0.668  0.063
Bi  0.937  0.080  0.332

2.
## SmThBi (PBE-GGA)

Data for a relaxed SmThBi crystal.

Results
- E_tot (eV per atom) = -5.8541
- E_form (eV/atom) = -0.5141
- density (g cm⁻³) = 10.22
- symmetry = P4/nmm

Cell lengths 4.583, 4.583, 9.154 Å; angles 90.00, 90.00, 90.00 degrees
Sites, in units of the cell vectors:
Sm  0.250  0.250  0.141
Sm  0.750  0.750  0.859
Th  0.250  0.750  0.500
Th  0.750  0.250  0.500
Bi  0.250  0.250  0.784
Bi  0.750  0.750  0.216

3.
## Sm3Th4Bi8 (PBE-GGA)

Data for a relaxed Sm3Th4Bi8 crystal.

Results
- E_tot (eV per atom) = -5.6389
- E_form (eV/atom) = -0.6466
- density (g cm⁻³) = 9.42
- symmetry = C2/m

Cell lengths 9.116, 9.116, 9.118 Å; angles 119.81, 119.81, 90.20 degrees
Sites, in units of the cell vectors:
Sm  0.000  0.000  0.000
Sm  0.000  0.500  0.000
Sm  0.500  0.000  0.000
Th  0.000  0.000  0.500
Th  0.000  0.500  0.500
Th  0.500  0.000  0.500
Th  0.500  0.500  0.000
Bi  0.249  0.751  0.000
Bi  0.256  0.256  0.011
Bi  0.257  0.743  0.500
Bi  0.258  0.258  0.499
Bi  0.742  0.742  0.501
Bi  0.743  0.257  0.500
Bi  0.744  0.744  0.989
Bi  0.751  0.249  0.000